(1)
## NdSnCl (GGA-PBE)

Data for crystalline NdSnCl at its relaxed geometry.

abc: 4.285 8.677 9.941
angles: 92.62 102.45 90.00
Element x y z (fractional)
Cl 0.078 0.367 0.156
Cl 0.462 0.159 0.925
Cl 0.538 0.841 0.075
Cl 0.922 0.633 0.844
Sn 0.246 0.630 0.493
Sn 0.749 0.877 0.497
Sn 0.754 0.370 0.507
Sn 0.251 0.123 0.503
Nd 0.375 0.407 0.750
Nd 0.621 0.130 0.243
Nd 0.625 0.593 0.250
Nd 0.379 0.870 0.757

---

(2)
## Nd3SnTeCl (GGA-PBE)

Data for crystalline Nd3SnTeCl at its relaxed geometry.

abc: 4.384 9.154 10.143
angles: 93.10 90.00 90.00
Element x y z (fractional)
Nd 0.750 0.876 0.145
Nd 0.250 0.124 0.855
Nd 0.250 0.671 0.445
Nd 0.750 0.329 0.555
Nd 0.750 0.384 0.162
Nd 0.250 0.616 0.838
Sn 0.250 0.630 0.146
Sn 0.750 0.370 0.854
Te 0.250 0.131 0.176
Te 0.750 0.869 0.824
Cl 0.250 0.136 0.568
Cl 0.750 0.864 0.432

---

(3)
## NdTlSnCl6 (GGA-PBE)

Data for crystalline NdTlSnCl6 at its relaxed geometry.

abc: 7.389 7.389 13.592
angles: 90.00 90.00 120.00
Element x y z (fractional)
Nd 0.667 0.333 0.250
Nd 0.333 0.667 0.750
Tl 0.000 0.000 0.000
Tl 0.000 0.000 0.500
Sn 0.333 0.667 0.250
Sn 0.667 0.333 0.750
Cl 0.639 0.628 0.136
Cl 0.989 0.361 0.136
Cl 0.361 0.989 0.636
Cl 0.011 0.639 0.864
Cl 0.372 0.361 0.364
Cl 0.989 0.628 0.364
Cl 0.628 0.989 0.864
Cl 0.639 0.011 0.364
Cl 0.011 0.372 0.636
Cl 0.372 0.011 0.136
Cl 0.628 0.639 0.636
Cl 0.361 0.372 0.864

---

(4)
## NdTlSn2Cl8 (GGA-PBE)

Data for crystalline NdTlSn2Cl8 at its relaxed geometry.

abc: 6.940 6.522 9.111
angles: 92.21 93.14 88.50
Element x y z (fractional)
Nd 0.000 0.000 0.000
Tl 0.000 0.000 0.500
Sn 0.511 0.504 0.747
Sn 0.489 0.496 0.253
Cl 0.143 0.746 0.217
Cl 0.680 0.751 0.964
Cl 0.818 0.220 0.218
Cl 0.857 0.254 0.783
Cl 0.320 0.249 0.036
Cl 0.182 0.780 0.782
Cl 0.638 0.719 0.545
Cl 0.362 0.281 0.455

---

no.,formation energy (no corrections) (kJ/mol of atoms),M_tot (μB per formula unit),calculated total energy (eV/atom)
1,-113.70,0.000,-4.72
2,-107.08,0.940,-4.99
3,-153.22,0.000,-4.06
4,-137.08,0.000,-3.91